[1]
A relaxed structure of K2MoIr, computed with GGA-PBEsol.

The total energy is -18.93 eV/cell. The value obtained for the spin magnetization is 0.01 μB per formula unit.

The space group is Pmmm (No. 47) and the conventional cell measures 2.7100, 5.2195 and 5.7097 Å, with angles of 90.00, 90.00 and 90.00 degrees. The inequivalent atoms are K at (0.0000, 0.2476, 0.0000), Mo at (0.5000, 0.5000, 0.5000) and Ir at (0.5000, 0.0000, 0.5000).


[2]
A relaxed structure of K3MoIr, computed with GGA-PBEsol.

The total energy is -15.61 eV/cell. The value obtained for the spin magnetization is 6.10 μB per formula unit.

The space group is Pm-3m (No. 221) and the conventional cell measures 5.9708, 5.9708 and 5.9708 Å, with angles of 90.00, 90.00 and 90.00 degrees. The inequivalent atoms are K at (0.0000, 0.0000, 0.5000), Mo at (0.5000, 0.5000, 0.5000) and Ir at (0.0000, 0.0000, 0.0000).


[3]
A relaxed structure of KMo2Ir, computed with GGA-PBEsol.

The total energy is -62.16 eV/cell. The value obtained for the spin magnetization is 0.00 μB per formula unit.

The space group is Cmmm (No. 65) and the conventional cell measures 2.9183, 4.5514 and 10.7247 Å, with angles of 90.00, 90.00 and 90.00 degrees. The inequivalent atoms are K at (0.0000, 0.0000, 0.0000), Mo at (0.0000, 0.5000, 0.2902) and Ir at (0.0000, 0.0000, 0.5000).


[4]
A relaxed structure of K2MoIr, computed with GGA-PBEsol.

The total energy is -61.94 eV/cell. The value obtained for the spin magnetization is 4.64 μB per formula unit.

The space group is Fm-3m (No. 225) and the conventional cell measures 7.3148, 7.3148 and 7.3148 Å, with angles of 90.00, 90.00 and 90.00 degrees. The inequivalent atoms are K at (0.2500, 0.2500, 0.2500), Mo at (0.0000, 0.0000, 0.0000) and Ir at (0.0000, 0.0000, 0.5000).


[5]
A relaxed structure of K2MoIr, computed with GGA-PBEsol.

The total energy is -42.16 eV/cell. The value obtained for the spin magnetization is 0.00 μB per formula unit.

The space group is Cm (No. 8) and the conventional cell measures 8.2128, 2.9548 and 9.9686 Å, with angles of 90.00, 92.11 and 90.00 degrees. The inequivalent atoms are K at (0.0000, 0.0000, 0.0000), K at (0.2316, 0.0000, 0.5679), Mo at (0.4726, 0.0000, 0.3187) and Ir at (0.2427, 0.5000, 0.2408).


[6]
A relaxed structure of KMo2Ir, computed with GGA-PBEsol.

The total energy is -29.16 eV/cell. The value obtained for the spin magnetization is 0.00 μB per formula unit.

The space group is Pmmm (No. 47) and the conventional cell measures 2.8509, 4.8296 and 4.8400 Å, with angles of 90.00, 90.00 and 90.00 degrees. The inequivalent atoms are K at (0.0000, 0.0000, 0.0000), Mo at (0.0000, 0.5000, 0.5000), Mo at (0.5000, 0.5000, 0.0000) and Ir at (0.5000, 0.0000, 0.5000).


Number 1: formation enthalpy at 0 K 1.23 eV/atom, DOS(E_F) 1.148 states/eV per atom. Number 2: formation enthalpy at 0 K 1.88 eV/atom, DOS(E_F) 0.779 states/eV per atom. Number 3: formation enthalpy at 0 K 0.85 eV/atom, DOS(E_F) 1.019 states/eV per atom. Number 4: formation enthalpy at 0 K 2.09 eV/atom, DOS(E_F) 0.575 states/eV per atom. Number 5: formation enthalpy at 0 K 0.70 eV/atom, DOS(E_F) 0.842 states/eV per atom. Number 6: formation enthalpy at 0 K 1.33 eV/atom, DOS(E_F) 0.900 states/eV per atom.